Record 1
# PBE-GGA LaRe2Te, optimized geometry
# total DFT energy (no corrections)	-7.207	eV/atom
# magnetization	0.00	Bohr magnetons per cell
data_LaRe2Te
_cell_length_a 3.3637
_cell_length_b 5.2983
_cell_length_c 9.1276
_cell_angle_alpha 90.00
_cell_angle_beta 90.00
_cell_angle_gamma 90.00
_symmetry_space_group_name_H-M 'C m m m'
_symmetry_Int_Tables_number 65
_symmetry_space_group_name_Hall '-C 2 2'
loop_
_atom_site_label
_atom_site_fract_x
_atom_site_fract_y
_atom_site_fract_z
La1 0.0000 0.0000 0.0000
Re1 0.0000 0.5000 0.2656
Te1 0.0000 0.0000 0.5000

Record 2
# PBE-GGA Ta2MoAs, optimized geometry
# ΔH_f (0 K)	0.109	eV/atom
# total DFT energy (no corrections)	-9.687	eV/atom
# magnetization	0.00	Bohr magnetons per cell
data_Ta2MoAs
_cell_length_a 3.1923
_cell_length_b 3.1923
_cell_length_c 24.0834
_cell_angle_alpha 90.00
_cell_angle_beta 90.00
_cell_angle_gamma 120.00
_symmetry_space_group_name_H-M 'R 3 m'
_symmetry_Int_Tables_number 160
_symmetry_space_group_name_Hall 'R 3 -2"'
loop_
_atom_site_label
_atom_site_fract_x
_atom_site_fract_y
_atom_site_fract_z
Ta1 0.0000 0.0000 0.0000
Ta2 0.0000 0.0000 0.2429
Mo1 0.0000 0.0000 0.7526
As1 0.0000 0.0000 0.4950

Record 3
# PBE-GGA Zn2HgIr, optimized geometry
# ΔH_f (0 K)	-0.020	eV/atom
# total DFT energy (no corrections)	-2.948	eV/atom
# magnetization	0.00	Bohr magnetons per cell
data_Zn2HgIr
_cell_length_a 3.0453
_cell_length_b 3.0453
_cell_length_c 7.2772
_cell_angle_alpha 90.00
_cell_angle_beta 90.00
_cell_angle_gamma 90.00
_symmetry_space_group_name_H-M 'P 4/m m m'
_symmetry_Int_Tables_number 123
_symmetry_space_group_name_Hall '-P 4 2'
loop_
_atom_site_label
_atom_site_fract_x
_atom_site_fract_y
_atom_site_fract_z
Zn1 0.0000 0.0000 0.2026
Hg1 0.5000 0.5000 0.5000
Ir1 0.5000 0.5000 0.0000

Record 4
# PBE-GGA SmTh2As2Rh7, optimized geometry
# ΔH_f (0 K)	-0.774	eV/atom
# total DFT energy (no corrections)	-7.467	eV/atom
# magnetization	0.00	Bohr magnetons per cell
data_SmTh2As2Rh7
_cell_length_a 5.8537
_cell_length_b 5.7787
_cell_length_c 13.3870
_cell_angle_alpha 90.00
_cell_angle_beta 97.14
_cell_angle_gamma 90.00
_symmetry_space_group_name_H-M 'C 1 2/m 1'
_symmetry_Int_Tables_number 12
_symmetry_space_group_name_Hall '-C 2y'
loop_
_atom_site_label
_atom_site_fract_x
_atom_site_fract_y
_atom_site_fract_z
Sm1 0.0000 0.0000 0.0000
Th1 0.0915 0.0000 0.3498
As1 0.0701 0.5000 0.2563
Rh1 0.0000 0.5000 0.0000
Rh2 0.1679 0.5000 0.4396
Rh3 0.2054 0.2492 0.8386

Record 5
# PBE-GGA Cs2V3Cl10, optimized geometry
# total DFT energy (no corrections)	-4.587	eV/atom
# magnetization	28.00	Bohr magnetons per cell
data_Cs2V3Cl10
_cell_length_a 23.4096
_cell_length_b 7.3610
_cell_length_c 9.8355
_cell_angle_alpha 90.00
_cell_angle_beta 111.89
_cell_angle_gamma 90.00
_symmetry_space_group_name_H-M 'C 1 2/m 1'
_symmetry_Int_Tables_number 12
_symmetry_space_group_name_Hall '-C 2y'
loop_
_atom_site_label
_atom_site_fract_x
_atom_site_fract_y
_atom_site_fract_z
Cs1 0.1218 0.0000 0.2336
Cs2 0.2260 0.0000 0.8101
V1 0.0000 0.2495 0.5000
V2 0.0758 0.5000 0.9722
V3 0.1747 0.5000 0.5163
Cl1 0.0000 0.2874 0.0000
Cl2 0.0202 0.0000 0.6727
Cl3 0.0201 0.5000 0.6829
Cl4 0.1075 0.2559 0.5252
Cl5 0.1316 0.5000 0.2434
Cl6 0.1354 0.2649 0.9519
Cl7 0.2265 0.5000 0.7669
Cl8 0.2500 0.2500 0.5000